Density functional theory data (PBE-GGA) for a relaxed structure of VZnRh2.

Cell lengths 6.701, 6.701, 5.474 Å; angles 52.26, 52.26, 90.00 degrees
Positions (direct):
Rh 0.875 0.845 0.750
Rh 0.595 0.125 0.250
Rh 0.155 0.625 0.250
Rh 0.375 0.405 0.750
V 0.500 0.500 0.000
V 0.250 0.750 0.500
Zn 0.750 0.250 0.500
Zn 0.000 0.000 0.000

Results
As for the formation energy: 0.10 eV per formula unit. The crystal system is tetragonal. As for the space group: I-42d, No. 122. The volume comes out at 123.1 Å³ per cell.

=====

Density functional theory data (PBE-GGA) for a relaxed structure of V5ZnRh6.

Cell lengths 3.962, 7.145, 7.145 Å; angles 110.85, 106.09, 106.09 degrees
Positions (direct):
Zn 0.000 0.000 0.000
V 0.000 0.353 0.647
V 0.500 0.182 0.818
V 0.500 0.500 0.500
V 0.000 0.647 0.353
V 0.500 0.818 0.182
Rh 0.760 0.591 0.928
Rh 0.267 0.767 0.767
Rh 0.733 0.233 0.233
Rh 0.760 0.928 0.591
Rh 0.240 0.409 0.072
Rh 0.240 0.072 0.409

Results
As for the formation energy: -4.68 eV per formula unit. The crystal system is orthorhombic. As for the space group: Immm, No. 71. The volume comes out at 164.9 Å³ per cell.

=====

Density functional theory data (PBE-GGA) for a relaxed structure of V2ZnRh2.

Cell lengths 2.904, 2.830, 8.770 Å; angles 80.72, 90.00, 90.00 degrees
Positions (direct):
V 0.000 0.809 0.382
V 0.000 0.191 0.618
Zn 0.000 0.000 0.000
Rh 0.500 0.400 0.201
Rh 0.500 0.600 0.799

Results
As for the formation energy: -1.08 eV per formula unit. The crystal system is orthorhombic. As for the space group: Cmmm, No. 65. The volume comes out at 71.1 Å³ per cell.

=====

Density functional theory data (PBE-GGA) for a relaxed structure of VZn2Rh.

Cell lengths 2.948, 2.948, 6.405 Å; angles 90.00, 90.00, 90.00 degrees
Each line ends with the local moment (μB).
Positions (direct):
Rh 0.500 0.500 0.000  0.07
Zn 0.000 0.000 0.239  0.00
Zn 0.000 0.000 0.761  0.00
V 0.500 0.500 0.500  0.29

Results
As for the formation energy: -0.37 eV per formula unit. The crystal system is tetragonal. As for the space group: P4/mmm, No. 123. The volume comes out at 55.7 Å³ per cell.

=====

Density functional theory data (PBE-GGA) for a relaxed structure of VZnRh6.

Cell lengths 4.562, 4.562, 6.857 Å; angles 73.33, 73.33, 71.80 degrees
Positions (direct):
Rh 0.481 0.948 0.696
Rh 0.052 0.519 0.304
Rh 0.519 0.052 0.304
Rh 0.369 0.369 0.920
Rh 0.631 0.631 0.080
Rh 0.948 0.481 0.696
V 0.500 0.500 0.500
Zn 0.000 0.000 0.000

Results
As for the formation energy: 1.48 eV per formula unit. The crystal system is monoclinic. As for the space group: C2/m, No. 12. The volume comes out at 126.8 Å³ per cell.

=====

Density functional theory data (PBE-GGA) for a relaxed structure of V2Zn2Rh.

Cell lengths 6.663, 6.663, 3.152 Å; angles 90.00, 90.00, 90.00 degrees
Each line ends with the local moment (μB).
Positions (direct):
V 0.332 0.168 0.500  0.15
V 0.832 0.332 0.500  0.15
V 0.668 0.832 0.500  0.15
V 0.168 0.668 0.500  0.15
Rh 0.500 0.500 0.000  0.11
Rh 0.000 0.000 0.000  0.11
Zn 0.368 0.868 0.000  0.00
Zn 0.132 0.368 0.000  0.00
Zn 0.868 0.632 0.000  0.00
Zn 0.632 0.132 0.000  0.00

Results
As for the formation energy: 0.54 eV per formula unit. The crystal system is tetragonal. As for the space group: P4/mbm, No. 127. The volume comes out at 140.0 Å³ per cell.

=====

Density functional theory data (PBE-GGA) for a relaxed structure of V2ZnRh2.

Cell lengths 7.279, 7.279, 2.760 Å; angles 90.00, 90.00, 90.00 degrees
Positions (direct):
Rh 0.867 0.633 0.000
Rh 0.633 0.133 0.000
Rh 0.367 0.867 0.000
Rh 0.133 0.367 0.000
Zn 0.500 0.500 0.000
Zn 0.000 0.000 0.000
V 0.836 0.336 0.500
V 0.664 0.836 0.500
V 0.164 0.664 0.500
V 0.336 0.164 0.500

Results
As for the formation energy: -1.16 eV per formula unit. The crystal system is tetragonal. As for the space group: P4/mbm, No. 127. The volume comes out at 146.2 Å³ per cell.

=====

Density functional theory data (PBE-GGA) for a relaxed structure of V2ZnRh2.

Cell lengths 3.719, 3.719, 6.305 Å; angles 72.85, 72.85, 90.00 degrees
Positions (direct):
V 0.250 0.750 0.500
V 0.750 0.250 0.500
Rh 0.392 0.392 0.215
Rh 0.608 0.608 0.785
Zn 0.000 0.000 0.000

Results
As for the formation energy: 0.14 eV per formula unit. The crystal system is tetragonal. As for the space group: I4/mmm, No. 139. The volume comes out at 79.3 Å³ per cell.

=====

Density functional theory data (PBE-GGA) for a relaxed structure of VZn3Rh4.

Cell lengths 3.128, 4.243, 8.341 Å; angles 90.00, 90.00, 90.00 degrees
Positions (direct):
Rh 0.000 0.500 0.765
Rh 0.000 0.000 0.500
Rh 0.000 0.500 0.235
Rh 0.000 0.000 0.000
Zn 0.500 0.000 0.252
Zn 0.500 0.500 0.500
Zn 0.500 0.000 0.748
V 0.500 0.500 0.000

Results
As for the formation energy: -3.49 eV per formula unit. The crystal system is orthorhombic. As for the space group: Pmmm, No. 47. The volume comes out at 110.7 Å³ per cell.

=====

Density functional theory data (PBE-GGA) for a relaxed structure of VZnRh2.

Cell lengths 2.746, 2.746, 8.677 Å; angles 81.03, 81.03, 59.96 degrees
Positions (direct):
Rh 0.252 0.252 0.243
Rh 0.081 0.081 0.757
Zn 0.500 0.500 0.500
V 0.667 0.667 0.000

Results
As for the formation energy: -1.27 eV per formula unit. The crystal system is monoclinic. As for the space group: Cm, No. 8. The volume comes out at 55.7 Å³ per cell.